First-principles (PBE) data for crystalline Na5B8C2 at its relaxed geometry, as listed in Alexandria via LeMat-Bulk.

Values from the calculation:
- energy of formation (eV per atom) = 0.19
- density of states at the Fermi level (states/eV per cell) = 6.072
- E above lowest polymorph (eV per atom) = 0.018
- density (g/cm³) = 2.321

a b c (Å): 5.2780 7.5251 9.1718
angles (deg): 92.50 106.63 110.53
Atoms (fractional coordinates):
Na1 0.0000 0.0000 0.0000
Na2 0.1008 0.7005 0.5042
Na3 0.2051 0.4020 0.0040
Na4 0.2943 0.0997 0.4965
Na5 0.3968 0.7988 0.9930
Na6 0.5000 0.5000 0.5000
Na7 0.6032 0.2012 0.0070
Na8 0.7057 0.9003 0.5035
Na9 0.7949 0.5980 0.9960
Na10 0.8992 0.2995 0.4958
B1 0.0105 0.4621 0.2502
B2 0.0750 0.2430 0.2502
B3 0.1305 0.1504 0.7501
B4 0.1968 0.8477 0.2496
B5 0.3179 0.5416 0.7499
B6 0.3245 0.6608 0.2501
B7 0.3997 0.2398 0.2497
B8 0.4881 0.9613 0.7501
B9 0.5119 0.0387 0.2499
B10 0.6003 0.7602 0.7503
B11 0.6755 0.3392 0.7499
B12 0.6821 0.4584 0.2501
B13 0.8032 0.1523 0.7504
B14 0.8695 0.8496 0.2499
B15 0.9250 0.7570 0.7498
B16 0.9895 0.5379 0.7498
C1 0.1887 0.9541 0.7495
C2 0.3844 0.3458 0.7498
C3 0.6156 0.6542 0.2502
C4 0.8113 0.0459 0.2505